[1]
{
  "formula": "ErCd7Pd4",
  "functional": "PBE",
  "state": "optimized geometry",
  "n_ef_per_ev_atom": 0.461,
  "ef_mev_per_atom": -117,
  "vol_a3_per_cell": 254.6,
  "mass_density_g_cm3": 9.00,
  "lattice_angstrom": [[6.0886, -2.6046, 0.0000], [6.0886, 2.6046, 0.0000], [-5.7233, 0.0000, 8.0280]],
  "species": ["Er", "Cd", "Cd", "Cd", "Cd", "Cd", "Cd", "Cd", "Pd", "Pd", "Pd", "Pd"],
  "fractional_positions": [[0.0000, 0.0000, 0.0000], [0.0643, 0.0643, 0.3671], [0.2148, 0.2148, 0.8755], [0.3312, 0.3312, 0.4053], [0.5000, 0.5000, 0.0000], [0.6688, 0.6688, 0.5947], [0.7852, 0.7852, 0.1245], [0.9357, 0.9357, 0.6329], [0.3057, 0.3057, 0.6691], [0.4234, 0.4234, 0.2140], [0.5766, 0.5766, 0.7860], [0.6943, 0.6943, 0.3309]]
}

=====

[2]
{
  "formula": "Ba6Ag3Pd",
  "functional": "PBE",
  "state": "optimized geometry",
  "n_ef_per_ev_atom": 0.808,
  "ef_mev_per_atom": -257,
  "vol_a3_per_cell": 875.3,
  "mass_density_g_cm3": 4.76,
  "lattice_angstrom": [[8.1033, 0.0000, 0.0000], [0.0000, 8.9676, 0.0000], [-7.7451, 0.0000, 12.0461]],
  "species": ["Ba", "Ba", "Ba", "Ba", "Ba", "Ba", "Ba", "Ba", "Ba", "Ba", "Ba", "Ba", "Ag", "Ag", "Ag", "Ag", "Ag", "Ag", "Pd", "Pd"],
  "fractional_positions": [[0.0908, 0.0460, 0.2439], [0.0908, 0.4540, 0.7439], [0.2346, 0.6877, 0.0729], [0.2346, 0.8123, 0.5729], [0.3870, 0.1724, 0.0666], [0.3870, 0.3276, 0.5666], [0.6130, 0.6724, 0.4334], [0.6130, 0.8276, 0.9334], [0.7654, 0.1877, 0.4271], [0.7654, 0.3123, 0.9271], [0.9092, 0.5460, 0.2561], [0.9092, 0.9540, 0.7561], [0.3103, 0.1132, 0.7579], [0.3103, 0.3868, 0.2579], [0.5000, 0.0000, 0.5000], [0.5000, 0.5000, 0.0000], [0.6897, 0.6132, 0.7421], [0.6897, 0.8868, 0.2421], [0.0000, 0.0000, 0.0000], [0.0000, 0.5000, 0.5000]]
}

=====

[3]
{
  "formula": "MoIr2Os",
  "functional": "PBE",
  "state": "optimized geometry",
  "relative_energy_ev_per_atom": 0.4887,
  "n_ef_per_ev_atom": 1.349,
  "ef_mev_per_atom": 261,
  "vol_a3_per_cell": 60.7,
  "mass_density_g_cm3": 18.36,
  "lattice_angstrom": [[3.3109, 0.0000, 0.0000], [0.0000, 3.3109, 0.0000], [0.0000, 0.0000, 5.5333]],
  "species": ["Mo", "Ir", "Ir", "Os"],
  "fractional_positions": [[0.0000, 0.0000, 0.0000], [0.0000, 0.0000, 0.5099], [0.5000, 0.5000, 0.7473], [0.5000, 0.5000, 0.2645]]
}